Record 1
The following is a PBE-GGA calculation of crystalline YNbP2S at its relaxed geometry, from the Alexandria database.

Polymorph energy (0 for the lowest one): 0.00 kJ per mole of atoms
Total magnetization: 0.00 μB per formula unit
Crystal system: tetragonal
SG: P4/mmm

Cell: 4.824 4.824 4.746 Å, 90.00 90.00 90.00°
Fractional coordinates of all 5 atoms:
1 Y 0.500 0.500 0.500
2 P 0.000 0.500 0.000
3 P 0.500 0.000 0.000
4 Nb 0.000 0.000 0.000
5 S 0.000 0.000 0.500

=====

Record 2
The following is a PBE-GGA calculation of crystalline NbZnPS2 at its relaxed geometry, from the Alexandria database.

Polymorph energy (0 for the lowest one): 71.05 kJ per mole of atoms
Total magnetization: 0.00 μB per formula unit
Crystal system: tetragonal
SG: P4/mmm

Cell: 4.543 4.543 4.521 Å, 90.00 90.00 90.00°
Fractional coordinates of all 5 atoms:
1 S 0.000 0.500 0.000
2 S 0.500 0.000 0.000
3 P 0.000 0.000 0.500
4 Nb 0.500 0.500 0.500
5 Zn 0.000 0.000 0.000

=====

Record 3
The following is a PBE-GGA calculation of crystalline NbZnP2S at its relaxed geometry, from the Alexandria database.

Polymorph energy (0 for the lowest one): 60.10 kJ per mole of atoms
Total magnetization: 1.55 μB per formula unit
Crystal system: tetragonal
SG: P4/mmm

Cell: 4.508 4.508 4.632 Å, 90.00 90.00 90.00°
Last column: magnetic moment on the atom in μB.
Fractional coordinates of all 5 atoms:
1 S 0.000 0.000 0.500  -0.09
2 P 0.000 0.500 0.000  -0.09
3 P 0.500 0.000 0.000  -0.09
4 Nb 0.500 0.500 0.500  1.67
5 Zn 0.000 0.000 0.000  0.02

=====

Record 4
The following is a PBE-GGA calculation of crystalline NbZnP2S at its relaxed geometry, from the Alexandria database.

Polymorph energy (0 for the lowest one): 0.00 kJ per mole of atoms
Total magnetization: 0.00 μB per formula unit
Crystal system: tetragonal
SG: P4/mmm

Cell: 4.888 4.734 4.888 Å, 90.00 90.00 90.00°
Fractional coordinates of all 5 atoms:
1 S 0.000 0.500 0.000
2 P 0.000 0.000 0.500
3 P 0.500 0.000 0.000
4 Nb 0.000 0.000 0.000
5 Zn 0.500 0.500 0.500